{"formula": "BeBOF2", "functional": "PBE", "state": "relaxed", "raw_formation_energy_mev_per_atom": -937, "total_energy_ev_per_atom": -4.7579, "n_ef_per_ev_atom": 0.1611, "relative_energy_kj_per_mol_atoms": 16.78, "lattice_angstrom": [[3.0782, 0.0000, 0.0000], [0.0000, 3.0782, 0.0000], [0.0000, 0.0000, 5.0813]], "species": ["Be", "B", "O", "F", "F"], "fractional_positions": [[0.0000, 0.0000, 0.0000], [0.5000, 0.5000, 0.5000], [0.0000, 0.0000, 0.5000], [0.0000, 0.5000, 0.0000], [0.5000, 0.0000, 0.0000]]}

***

{"formula": "BeBOF2", "functional": "PBE", "state": "relaxed", "raw_formation_energy_mev_per_atom": -1111, "total_energy_ev_per_atom": -4.9318, "n_ef_per_ev_atom": 0.1861, "relative_energy_kj_per_mol_atoms": 0.00, "lattice_angstrom": [[4.2391, 0.0000, 0.0000], [0.0000, 4.2391, 0.0000], [0.0000, 0.0000, 2.6070]], "species": ["Be", "B", "O", "F", "F"], "fractional_positions": [[0.0000, 0.0000, 0.0000], [0.5000, 0.5000, 0.5000], [0.5000, 0.5000, 0.0000], [0.0000, 0.5000, 0.5000], [0.5000, 0.0000, 0.5000]]}